Entry from Alexandria via LeMat-Bulk: a relaxed Cs2HF crystal (PBE).

Results
DFT total energy in eV per atom: -3.14
Crystal system: trigonal
Relative energy among the computed polymorphs in eV/atom: 0.001
Mass density in Mg/m³: 3.880

Cell and atoms, written as POSCAR:
```
Cs2HF
1.0
-0.577 1.242 -4.197
-0.299 -3.045 -3.182
-7.479 -0.849 -1.546
Cs H F
2 1 1
direct
0.254 0.254 0.239 Cs
0.746 0.746 0.761 Cs
0.500 0.500 0.500 H
0.000 0.000 0.000 F
```

=====

Entry from Alexandria via LeMat-Bulk: a relaxed Li2SnPb crystal (PBE).

Results
DFT total energy in eV per atom: -2.93
Crystal system: tetragonal
Mass density in Mg/m³: 5.940

Cell and atoms, written as POSCAR:
```
Li2SnPb
1.0
7.733 0.000 0.000
0.000 7.733 0.000
3.867 3.867 3.176
Pb Sn Li
2 2 4
direct
0.000 0.000 0.000 Pb
0.750 0.250 0.500 Pb
0.500 0.500 0.000 Sn
0.250 0.750 0.500 Sn
0.619 0.125 0.250 Li
0.131 0.625 0.250 Li
0.375 0.381 0.750 Li
0.875 0.869 0.750 Li
```

=====

Entry from Alexandria via LeMat-Bulk: a relaxed TbDyEr5In2 crystal (PBE).

Results
DFT total energy in eV per atom: -4.16
Crystal system: tetragonal
Mass density in Mg/m³: 8.287

Cell and atoms, written as POSCAR:
```
TbDyEr5In2
1.0
7.566 0.000 0.000
0.000 7.566 0.000
-3.783 -3.783 9.711
Tb Dy Er In
2 2 10 4
direct
0.250 0.250 0.500 Tb
0.750 0.750 0.500 Tb
0.250 0.750 0.500 Dy
0.750 0.250 0.500 Dy
0.923 0.423 0.245 Er
0.677 0.177 0.755 Er
0.077 0.577 0.755 Er
0.177 0.077 0.755 Er
0.577 0.677 0.755 Er
0.823 0.923 0.245 Er
0.423 0.323 0.245 Er
0.323 0.823 0.245 Er
0.500 0.500 0.000 Er
0.000 0.000 0.000 Er
0.125 0.375 0.000 In
0.625 0.125 0.000 In
0.375 0.875 0.000 In
0.875 0.625 0.000 In
```

=====

Entry from Alexandria via LeMat-Bulk: a relaxed CaCe2NdAs4 crystal (PBE).

Results
DFT total energy in eV per atom: -6.04
Crystal system: monoclinic
Mass density in Mg/m³: 5.876

Cell and atoms, written as POSCAR:
```
CaCe2NdAs4
1.0
-0.363 -4.217 0.399
5.930 -0.907 -4.202
6.023 -0.118 4.231
Ca Ce Nd As
1 2 1 4
direct
0.000 0.500 0.500 Ca
0.000 0.000 0.000 Ce
0.500 0.000 0.500 Ce
0.500 0.500 0.000 Nd
0.000 0.758 0.749 As
0.000 0.242 0.251 As
0.500 0.761 0.245 As
0.500 0.239 0.755 As
```

=====

Entry from Alexandria via LeMat-Bulk: a relaxed CeHoHg6 crystal (PBE).

Results
DFT total energy in eV per atom: -1.81
Crystal system: tetragonal
Relative energy among the computed polymorphs in eV/atom: 0.045
Mass density in Mg/m³: 12.322

Cell and atoms, written as POSCAR:
```
CeHoHg6
1.0
4.605 0.000 0.000
0.000 4.605 0.000
0.000 0.000 9.585
Ce Ho Hg
1 1 6
direct
0.000 0.000 0.000 Ce
0.000 0.000 0.500 Ho
0.500 0.500 0.000 Hg
0.500 0.500 0.500 Hg
0.500 0.000 0.256 Hg
0.500 0.000 0.744 Hg
0.000 0.500 0.256 Hg
0.000 0.500 0.744 Hg
```

=====

Entry from Alexandria via LeMat-Bulk: a relaxed SeClO2 crystal (PBE).

Results
DFT total energy in eV per atom: -3.76
Crystal system: tetragonal
Relative energy among the computed polymorphs in eV/atom: 0.000
ΔE_f (raw) in eV per atom: 0.057
Mass density in Mg/m³: 3.105

Cell and atoms, written as POSCAR:
```
SeClO2
1.0
6.051 0.000 0.000
0.000 6.051 0.000
3.025 3.025 4.278
O Se Cl
4 2 2
direct
0.874 0.125 0.250 O
0.876 0.625 0.250 O
0.375 0.126 0.750 O
0.875 0.124 0.750 O
0.000 0.000 0.000 Se
0.750 0.250 0.500 Se
0.500 0.500 0.000 Cl
0.250 0.750 0.500 Cl
```